DFT (GGA+U) results for a relaxed structure of ZnCo2F6.

- spin magnetization (μB/f.u.) = 6.00
- total DFT energy (no corrections) (eV/atom) = -4.685

Unit cell a=5.239 b=5.239 c=4.500 alpha=90.00 beta=90.00 gamma=120.00
Element x y z (fractional)
1 Zn 0.000 0.000 0.000
2 Co 0.333 0.667 0.500
3 Co 0.667 0.333 0.500
4 F 0.000 0.332 0.742
5 F 0.000 0.668 0.258
6 F 0.332 0.000 0.742
7 F 0.332 0.332 0.258
8 F 0.668 0.000 0.258
9 F 0.668 0.668 0.742